A plane-wave DFT calculation with PBE-GGA was carried out for an optimized crystal structure of UHg2F11.

Cell lengths 7.5723, 11.0353, 11.8657 Å; angles 90.00, 90.00, 90.00 degrees
Closest atoms and distances in Å follow each position.
Space group Ibam (No. 72)
Symmetry-distinct sites (fractional):
U1 0.0000 0.0000 0.2500  8 F 2.07-2.21
Hg1 0.1501 0.3380 0.0000  5 F 2.10-2.34
F1 0.0000 0.5000 0.0000  2 Hg 2.12
F2 0.0846 0.1329 0.1391  1 U 2.07
F3 0.1356 0.2824 0.5000  2 Hg 2.10-2.25
F4 0.2332 0.0774 0.3356  1 U 2.21, 1 Hg 2.34

N(E_F) = 0.240 states/eV/atom
formation energy (no corrections) = -2.202 eV per atom
energy = -4.522 eV/atom